Density functional theory data (PBE-GGA) for crystalline TlHg2BiPb2 at its relaxed geometry.

a b c (Å): 5.4198 9.8922 6.7339
angles (deg): 90.00 90.00 90.00
Element x y z (fractional)
Tl (0.0000, 0.0167, 0.0000)
Tl (0.0000, 0.9833, 0.5000)
Hg (0.0000, 0.3418, 0.9493)
Hg (0.0000, 0.6582, 0.4493)
Hg (0.5000, 0.4919, 0.0696)
Hg (0.5000, 0.5081, 0.5696)
Bi (0.5000, 0.1665, 0.2331)
Bi (0.5000, 0.8335, 0.7331)
Pb (0.0000, 0.3267, 0.4501)
Pb (0.0000, 0.6733, 0.9501)
Pb (0.5000, 0.1783, 0.7326)
Pb (0.5000, 0.8217, 0.2326)

Results
- ΔH_f (0 K): 12 meV per atom